#A
Compound: BaB3Pt
Source: Alexandria via LeMat-Bulk
Functional: PBE-GGA
Structure: optimized geometry

Cell: 4.7000 4.7000 4.7000 Å, 90.00 90.00 90.00°
With the nearest neighbours (Å) after each atom.
Space group Pm-3m (No. 221)
One atom of each set of equivalent atoms:
Ba1 0.0000 0.0000 0.0000  6 B 2.35
B1 0.0000 0.0000 0.5000  2 Ba 2.35
Pt1 0.5000 0.5000 0.5000  12 B 3.32

Output
- DOS at the Fermi energy: 3.848 states/eV/cell
- Mass density: 5.84 g cm⁻³
- Size of the total moment: 0.00 Bohr magnetons per cell
- Crystal system: cubic

***

#B
Compound: BaB3Pt
Source: Alexandria via LeMat-Bulk
Functional: PBE-GGA
Structure: optimized geometry

Cell: 4.3093 4.3093 4.3093 Å, 90.00 90.00 90.00°
With the nearest neighbours (Å) after each atom.
Space group Pm-3m (No. 221)
One atom of each set of equivalent atoms:
Ba1 0.0000 0.0000 0.0000  12 B 3.05
B1 0.0000 0.5000 0.5000  2 Pt 2.15
Pt1 0.5000 0.5000 0.5000  6 B 2.15

Output
- DOS at the Fermi energy: 4.516 states/eV/cell
- Mass density: 7.57 g cm⁻³
- Size of the total moment: 1.09 Bohr magnetons per cell
- Crystal system: cubic

***

Tell me which of them is the most stable. Sure, it is #B.